# Tl2Cd

Crystalline Tl2Cd at its relaxed geometry (GGA-PBEsol, the Alexandria database).

Calculated values
The value obtained for the total moment is 0.0 μB/cell. The value obtained for the energy above the most stable polymorph in this dataset is 0.0 meV/atom. Its energy relative to the elements is 39 meV per atom. Its space-group type is I4/mcm.

a = 5.990 Å, b = 5.990 Å, c = 5.990 Å
α = 103.04°, β = 103.04°, γ = 123.28°
Sites, in units of the cell vectors:
1 Tl 0.150 0.650 0.800
2 Tl 0.350 0.150 0.500
3 Tl 0.650 0.850 0.500
4 Tl 0.850 0.350 0.200
5 Cd 0.250 0.250 0.000
6 Cd 0.750 0.750 0.000